[1]
The following is a PBEsol calculation of a relaxed TaHgSbTe2 crystal, from Alexandria.

Cell and atoms, written as extended XYZ:
```
5
Lattice="5.280 0.000 0.000 0.000 5.389 0.000 0.000 0.000 5.389" Properties=species:S:1:pos:R:3 pbc="T T T"
Ta 2.640 2.695 2.695
Sb 2.640 0.000 0.000
Hg 0.000 0.000 0.000
Te 0.000 0.000 2.695
Te 0.000 2.695 0.000
```

Calculated values
N(E_F)   1.36 states/eV/atom
Total energy   -3.461 eV/atom
Formation energy from raw total energies   1.484 eV/atom
Spin magnetization   2.11 μB per formula unit



[2]
The following is a PBEsol calculation of a relaxed TaHgSb2Te crystal, from Alexandria.

Cell and atoms, written as extended XYZ:
```
5
Lattice="5.281 0.000 0.000 0.000 5.346 0.000 0.000 0.000 5.346" Properties=species:S:1:pos:R:3 pbc="T T T"
Sb 0.000 0.000 2.673
Ta 0.000 0.000 0.000
Hg 2.641 2.673 2.673
Te 2.641 0.000 0.000
Sb 0.000 2.673 0.000
```

Calculated values
N(E_F)   0.73 states/eV/atom
Total energy   -4.820 eV/atom
Formation energy from raw total energies   0.332 eV/atom
Spin magnetization   0.00 μB per formula unit



[3]
The following is a PBEsol calculation of a relaxed TcHgSb2 crystal, from Alexandria.

Cell and atoms, written as extended XYZ:
```
4
Lattice="-3.011 2.940 -1.725 -1.372 -4.871 0.089 -0.101 2.224 3.966" Properties=species:S:1:pos:R:3 pbc="T T T"
Hg 0.000 0.000 0.000
Tc -1.556 2.582 1.120
Sb -2.970 0.325 -0.258
Sb -1.515 -0.033 2.588
```

Calculated values
N(E_F)   1.06 states/eV/atom
Total energy   -4.747 eV/atom
Formation energy from raw total energies   0.490 eV/atom
Spin magnetization   0.01 μB per formula unit



[4]
The following is a PBEsol calculation of a relaxed TcHgSb2 crystal, from Alexandria.

Cell and atoms, written as extended XYZ:
```
4
Lattice="3.209 0.000 0.000 0.000 3.209 0.000 0.000 0.000 8.553" Properties=species:S:1:pos:R:3 pbc="T T T"
Sb 0.000 0.000 6.933
Hg 1.605 1.605 4.277
Tc 1.605 1.605 0.000
Sb 0.000 0.000 1.620
```

Calculated values
N(E_F)   0.35 states/eV/atom
Total energy   -5.226 eV/atom
Formation energy from raw total energies   0.011 eV/atom
Spin magnetization   0.00 μB per formula unit



[5]
The following is a PBEsol calculation of a relaxed TcHgSb2 crystal, from Alexandria.

Cell and atoms, written as extended XYZ:
```
4
Lattice="-2.041 -0.570 -2.453 -0.751 -3.048 -0.809 -8.740 -0.993 5.363" Properties=species:S:1:pos:R:3 pbc="T T T"
Hg 0.000 0.000 0.000
Sb -3.325 -1.141 0.890
Sb -8.207 -3.470 1.211
Tc -5.766 -2.305 1.050
```

Calculated values
N(E_F)   0.55 states/eV/atom
Total energy   -5.136 eV/atom
Formation energy from raw total energies   0.101 eV/atom
Spin magnetization   0.00 μB per formula unit



[6]
The following is a PBEsol calculation of a relaxed TcHgSb2 crystal, from Alexandria.

Cell and atoms, written as extended XYZ:
```
4
Lattice="3.217 0.000 0.000 1.609 2.786 0.000 1.609 0.929 9.643" Properties=species:S:1:pos:R:3 pbc="T T T"
Hg 1.609 0.929 2.729
Tc 3.217 1.857 4.908
Sb 4.826 2.786 0.059
Sb 4.826 2.786 6.769
```

Calculated values
N(E_F)   0.92 states/eV/atom
Total energy   -4.896 eV/atom
Formation energy from raw total energies   0.341 eV/atom
Spin magnetization   0.00 μB per formula unit



[7]
The following is a PBEsol calculation of a relaxed Hg2SbTe crystal, from Alexandria.

Cell and atoms, written as extended XYZ:
```
4
Lattice="3.137 0.000 0.000 -1.569 4.057 -0.087 0.000 -0.251 8.236" Properties=species:S:1:pos:R:3 pbc="T T T"
Sb 1.569 -0.014 4.255
Hg 0.000 1.849 6.174
Hg 1.569 3.747 8.012
Te 1.569 1.905 1.975
```

Calculated values
N(E_F)   0.54 states/eV/atom
Total energy   -2.240 eV/atom
Formation energy from raw total energies   0.065 eV/atom
Spin magnetization   0.00 μB per formula unit
Excess energy over the best structure of this formula in the dataset   0.000 eV per atom



[8]
The following is a PBEsol calculation of a relaxed HgSbTe crystal, from Alexandria.

Cell and atoms, written as extended XYZ:
```
3
Lattice="-0.189 2.263 2.222 -5.369 -0.498 0.052 3.018 -3.001 3.312" Properties=species:S:1:pos:R:3 pbc="T T T"
Hg -0.188 2.261 2.221
Sb 0.128 -1.037 3.334
Te -2.668 -0.197 2.253
```

Calculated values
N(E_F)   0.31 states/eV/atom
Total energy   -2.788 eV/atom
Formation energy from raw total energies   0.095 eV/atom
Spin magnetization   0.00 μB per formula unit



[9]
The following is a PBEsol calculation of a relaxed Hg2SbTe crystal, from Alexandria.

Cell and atoms, written as extended XYZ:
```
4
Lattice="-2.615 1.731 0.007 0.327 -1.128 2.908 5.768 8.707 2.730" Properties=species:S:1:pos:R:3 pbc="T T T"
Sb 2.950 4.453 1.396
Hg 5.693 8.593 2.694
Hg 3.191 6.845 3.509
Te 0.299 2.479 2.140
```

Calculated values
N(E_F)   0.47 states/eV/atom
Total energy   -2.181 eV/atom
Formation energy from raw total energies   0.123 eV/atom
Spin magnetization   0.00 μB per formula unit
Excess energy over the best structure of this formula in the dataset   0.058 eV per atom



[10]
The following is a PBEsol calculation of a relaxed YHgSb2Te crystal, from Alexandria.

Cell and atoms, written as extended XYZ:
```
5
Lattice="5.383 0.000 0.000 0.000 5.383 0.000 0.000 0.000 5.507" Properties=species:S:1:pos:R:3 pbc="T T T"
Sb 2.692 0.000 0.000
Te 0.000 0.000 2.754
Sb 0.000 2.692 0.000
Y 2.692 2.692 2.754
Hg 0.000 0.000 0.000
```

Calculated values
N(E_F)   0.82 states/eV/atom
Total energy   -3.693 eV/atom
Formation energy from raw total energies   0.313 eV/atom
Spin magnetization   0.00 μB per formula unit



[11]
The following is a PBEsol calculation of a relaxed ZrHgSb2Te crystal, from Alexandria.

Cell and atoms, written as extended XYZ:
```
5
Lattice="5.320 0.000 0.000 0.000 5.320 0.000 0.000 0.000 5.423" Properties=species:S:1:pos:R:3 pbc="T T T"
Sb 2.660 0.000 0.000
Zr 2.660 2.660 2.712
Te 0.000 0.000 2.712
Sb 0.000 2.660 0.000
Hg 0.000 0.000 0.000
```

Calculated values
N(E_F)   1.06 states/eV/atom
Total energy   -3.581 eV/atom
Formation energy from raw total energies   0.879 eV/atom
Spin magnetization   0.27 μB per formula unit



[12]
The following is a PBEsol calculation of a relaxed Ti3HgSb crystal, from Alexandria.

Cell and atoms, written as extended XYZ:
```
5
Lattice="-4.103 -2.217 1.572 2.551 -4.125 0.839 0.940 1.515 4.588" Properties=species:S:1:pos:R:3 pbc="T T T"
Ti -2.052 -1.109 0.786
Ti 1.275 -2.062 0.420
Hg 0.000 0.000 0.000
Ti 0.470 0.757 2.294
Sb -0.306 -2.414 3.500
```

Calculated values
N(E_F)   1.21 states/eV/atom
Total energy   -5.212 eV/atom
Formation energy from raw total energies   0.806 eV/atom
Spin magnetization   2.30 μB per formula unit



- Which value of formation energy from raw total energies does entry 6 give?
  0.341 eV/atom